This record from Alexandria via LeMat-Bulk describes an optimized crystal structure of PuZn10Ag. The functional is PBE-GGA.

The calculation puts the final energy at -2.51 eV/atom. The value obtained for the density of states at the Fermi level is 14.2 states/eV/cell. Its formation enthalpy at 0 K is -0.020 eV per atom.

It has space group Pmmm (No. 47), with a = 4.377 Å, b = 5.061 Å, c = 9.280 Å, α = 90.00°, β = 90.00° and γ = 90.00°. The asymmetric unit holds Pu at (0.000, 0.000, 0.000), Zn at (0.000, 0.000, 0.348), Zn at (0.000, 0.500, 0.197), Zn at (0.500, 0.000, 0.500), Zn at (0.500, 0.241, 0.238), Zn at (0.500, 0.500, 0.000) and Ag at (0.000, 0.500, 0.500).